First-principles (meta-GGA SCAN) data for a crystal of BaLiMg3 relaxed with PBEsol, as listed in Alexandria.

a b c (Å): 6.3348 6.3348 6.3348
angles (deg): 90.00 90.00 90.00
Space group Pm-3m (No. 221)
Symmetry-distinct sites (fractional):
Ba (0.0000, 0.0000, 0.0000) [1 per cell]
Li (0.5000, 0.5000, 0.5000) [1 per cell]
Mg (0.0000, 0.0000, 0.5000) [3 per cell]

* D(E_F): 3.98 states/eV per cell
* polymorph energy (0 for the lowest one): 930 meV/atom
* formation enthalpy at 0 K: 1.004 eV per atom

First-principles (meta-GGA SCAN) data for a crystal of Ba2LiMg relaxed with PBEsol, as listed in Alexandria.

a b c (Å): 13.1525 4.0374 6.2295
angles (deg): 90.00 110.12 90.00
Space group Cm (No. 8)
Symmetry-distinct sites (fractional):
Ba (0.0000, 0.0000, 0.0000) [2 per cell]
Ba (0.2008, 0.0000, 0.6430) [2 per cell]
Li (0.2653, 0.5000, 0.2034) [2 per cell]
Mg (0.4452, 0.0000, 0.4539) [2 per cell]

* D(E_F): 6.63 states/eV per cell
* formation enthalpy at 0 K: 0.005 eV per atom

First-principles (meta-GGA SCAN) data for a crystal of Ba2LiMg relaxed with PBEsol, as listed in Alexandria.

a b c (Å): 4.5239 5.6057 6.9469
angles (deg): 90.00 109.06 90.00
Space group Pm (No. 6)
Symmetry-distinct sites (fractional):
Ba (0.0000, 0.0000, 0.0000) [1 per cell]
Ba (0.2956, 0.5000, 0.5893) [1 per cell]
Li (0.5852, 0.5000, 0.1711) [1 per cell]
Mg (0.7142, 0.0000, 0.4271) [1 per cell]

* D(E_F): 3.53 states/eV per cell
* formation enthalpy at 0 K: 0.014 eV per atom

First-principles (meta-GGA SCAN) data for a crystal of Ba2LiMg relaxed with PBEsol, as listed in Alexandria.

a b c (Å): 4.0900 4.0900 9.3682
angles (deg): 90.00 90.00 90.00
Space group P4mm (No. 99)
Symmetry-distinct sites (fractional):
Ba (0.0000, 0.0000, 0.0000) [1 per cell]
Ba (0.5000, 0.5000, 0.3658) [1 per cell]
Li (0.0000, 0.0000, 0.6226) [1 per cell]
Mg (0.5000, 0.5000, 0.7531) [1 per cell]

* D(E_F): 2.04 states/eV per cell
* formation enthalpy at 0 K: 0.009 eV per atom

First-principles (meta-GGA SCAN) data for a crystal of Ba2LiMg relaxed with PBEsol, as listed in Alexandria.

a b c (Å): 4.1716 6.0837 12.1854
angles (deg): 90.00 90.00 90.00
Space group Imm2 (No. 44)
Symmetry-distinct sites (fractional):
Ba (0.0000, 0.0000, 0.0000) [2 per cell]
Ba (0.0000, 0.5000, 0.2005) [2 per cell]
Li (0.0000, 0.0000, 0.4354) [2 per cell]
Mg (0.0000, 0.5000, 0.7588) [2 per cell]

* D(E_F): 6.61 states/eV per cell
* formation enthalpy at 0 K: 0.009 eV per atom

First-principles (meta-GGA SCAN) data for a crystal of Ba2LiMg relaxed with PBEsol, as listed in Alexandria.

a b c (Å): 4.3388 4.3388 8.5343
angles (deg): 90.00 90.00 90.00
Space group P4/mmm (No. 123)
Symmetry-distinct sites (fractional):
Ba (0.0000, 0.0000, 0.2416) [2 per cell]
Li (0.5000, 0.5000, 0.5000) [1 per cell]
Mg (0.5000, 0.5000, 0.0000) [1 per cell]

* D(E_F): 3.78 states/eV per cell
* formation enthalpy at 0 K: -0.022 eV per atom

First-principles (meta-GGA SCAN) data for a crystal of BaLi2MgP2O8 relaxed with PBEsol, as listed in Alexandria.

a b c (Å): 5.0366 5.0366 7.0582
angles (deg): 90.00 90.00 120.00
Space group P-3 (No. 147)
Symmetry-distinct sites (fractional):
Ba (0.0000, 0.0000, 0.0000) [1 per cell]
Li (0.3333, 0.6667, 0.2605) [2 per cell]
Mg (0.0000, 0.0000, 0.5000) [1 per cell]
P (0.3333, 0.6667, 0.7504) [2 per cell]
O (0.0603, 0.7021, 0.6800) [6 per cell]
O (0.3333, 0.6667, 0.9695) [2 per cell]

* D(E_F): 0.00 states/eV per cell
* energy relative to the elements, uncorrected: -2.9055 eV per atom

First-principles (meta-GGA SCAN) data for a crystal of BaLiMn2 relaxed with PBEsol, as listed in Alexandria.

a b c (Å): 7.3251 7.3251 7.3251
angles (deg): 90.00 90.00 90.00
Space group Fm-3m (No. 225)
Symmetry-distinct sites (fractional):
Ba (0.0000, 0.0000, 0.0000) [4 per cell]
Li (0.0000, 0.0000, 0.5000) [4 per cell]
Mn (0.2500, 0.2500, 0.2500) [8 per cell]

* D(E_F): 7.29 states/eV per cell
* polymorph energy (0 for the lowest one): 89 meV/atom
* formation enthalpy at 0 K: 0.465 eV per atom